DFT (PBE) results for crystalline Ho12TlAu6 at its relaxed geometry.

a = 8.7273 Å, b = 8.7273 Å, c = 8.7273 Å
α = 109.47°, β = 109.47°, γ = 109.47°
With the nearest neighbours (Å) after each atom.
Fractional positions:
Ho1 0.2914 0.4756 0.1842  1 Au 2.76
Ho2 0.7086 0.8927 0.1842  1 Au 2.76
Ho3 0.1842 0.2914 0.4756  1 Au 2.76
Ho4 0.2914 0.1073 0.8158  1 Au 2.76
Ho5 0.1073 0.8158 0.2914  1 Au 2.76
Ho6 0.4756 0.1842 0.2914  1 Au 2.76
Ho7 0.8927 0.1842 0.7086  1 Au 2.76
Ho8 0.8158 0.2914 0.1073  1 Au 2.76
Ho9 0.1842 0.7086 0.8927  1 Au 2.76
Ho10 0.8158 0.7086 0.5244  1 Au 2.76
Ho11 0.5244 0.8158 0.7086  1 Au 2.76
Ho12 0.7086 0.5244 0.8158  1 Au 2.76
Au1 0.5000 0.8617 0.3617  2 Ho 2.76, 1 Au 2.79
Au2 0.3617 0.5000 0.8617  2 Ho 2.76, 1 Au 2.79
Au3 0.8617 0.3617 0.5000  2 Ho 2.76, 1 Au 2.79
Au4 0.5000 0.1383 0.6383  2 Ho 2.76, 1 Au 2.79
Au5 0.6383 0.5000 0.1383  2 Ho 2.76, 1 Au 2.79
Au6 0.1383 0.6383 0.5000  2 Ho 2.76, 1 Au 2.79
Tl1 0.0000 0.0000 0.0000  12 Ho 3.47

Calculated values
The calculated volume comes out at 26.93 Å³/atom. The energy above the most stable polymorph in this dataset comes out at 0 meV per atom. Its total energy is -0.1691 Ha/atom. The density of states at the Fermi level is 9.16 states/eV/f.u. Its energy of formation from the pure elements is -0.55 eV per atom.